No. 1
12
Lattice="-2.7256 -4.3974 2.0320 0.8213 -1.5902 5.2623 -7.0431 3.1581 4.9891" Properties=species:S:1:pos:R:3 comment="AcEr2Zn9, optimized geometry, DFT PBE" delta_e_f_kj_per_mol_atoms=-29.1 magmom_total_mub_per_cell=0.0 pbc="T T T"
Zn -3.9739 -3.9125 5.3089
Zn -2.5749 -1.6554 4.2659
Zn -2.1533 -2.4717 6.9669
Zn -4.4737 -1.4148 6.1417
Zn -6.7941 -0.3579 5.3165
Zn -1.3169 -3.9536 4.8818
Zn -6.3725 -1.1741 8.0175
Er -4.6701 -3.7632 8.3982
Er -4.2773 0.9337 3.8852
Zn -7.6305 1.1241 7.4016
Ac 0.0000 0.0000 0.0000
Zn -4.9736 1.0830 6.9745

=====

No. 2
3
Lattice="3.7622 0.0000 0.0000 0.0000 3.7622 0.0000 -1.8811 -1.8811 6.3388" Properties=species:S:1:pos:R:3 comment="AcErZn, optimized geometry, DFT PBE" delta_e_f_kj_per_mol_atoms=-14.7 magmom_total_mub_per_cell=0.0 polymorph_energy_mev_per_atom=0.0 pbc="T T T"
Er 0.0000 0.0000 3.7987
Zn 1.8811 1.8811 2.3638
Ac 0.0000 0.0000 0.1764

=====

No. 3
12
Lattice="5.8368 0.0000 0.0000 2.9184 8.1192 0.0000 2.9184 0.0000 8.1192" Properties=species:S:1:pos:R:3 comment="AcErZn, optimized geometry, DFT PBE" delta_e_f_kj_per_mol_atoms=2.2 magmom_total_mub_per_cell=0.0 polymorph_energy_mev_per_atom=174.8 pbc="T T T"
Zn 2.9184 3.0890 5.0302
Ac 2.9184 1.9937 1.9937
Ac 8.7551 6.1255 6.1255
Zn 5.8368 3.0890 3.0890
Er 5.8368 0.0000 3.0210
Er 5.8368 3.0210 0.0000
Ac 5.8368 1.9937 6.1255
Er 2.9184 0.0000 5.0983
Zn 5.8368 5.0302 5.0302
Ac 5.8368 6.1255 1.9937
Zn 2.9184 5.0302 3.0890
Er 2.9184 5.0983 0.0000

=====

No. 4
4
Lattice="-2.3310 0.6907 -2.6330 -3.4377 -0.9481 0.3558 -4.2323 10.0531 3.9452" Properties=species:S:1:pos:R:3 comment="AcEr2Zn, optimized geometry, DFT PBE" delta_e_f_kj_per_mol_atoms=12.7 magmom_total_mub_per_cell=0.0 polymorph_energy_mev_per_atom=253.9 pbc="T T T"
Ac 0.0000 0.0000 0.0000
Er -6.4934 2.9243 -0.8010
Er -3.5076 6.8714 2.4689
Zn -5.0005 4.8979 0.8340

=====

No. 5
4
Lattice="5.0619 0.0000 0.0000 0.0000 4.8406 0.0000 0.0000 0.0000 4.8406" Properties=species:S:1:pos:R:3 comment="AcEr2Zn, optimized geometry, DFT PBE" delta_e_f_kj_per_mol_atoms=5.4 magmom_total_mub_per_cell=0.0 polymorph_energy_mev_per_atom=178.1 pbc="T T T"
Zn 2.5309 0.0000 0.0000
Er 0.0000 0.0000 2.4203
Er 0.0000 2.4203 0.0000
Ac 2.5309 2.4203 2.4203

=====

No. 6
16
Lattice="-0.8669 -5.0311 0.4053 5.6639 -0.6057 4.5953 -6.2515 1.7160 7.9314" Properties=species:S:1:pos:R:3 comment="AcEr3Zn4, optimized geometry, DFT PBE" delta_e_f_kj_per_mol_atoms=-27.0 magmom_total_mub_per_cell=0.0 pbc="T T T"
Ac 2.8319 -0.3029 2.2977
Er -5.1223 -1.2302 6.1513
Er 0.8360 -2.3874 4.4830
Ac -0.2938 0.5552 6.2633
Zn -3.4177 1.1492 6.9801
Zn 0.8379 -2.6515 1.2341
Er -1.9960 -2.0849 2.1853
Er 0.0000 0.0000 0.0000
Zn -2.2878 -1.7935 5.1998
Er -3.1257 0.8580 3.9657
Zn -0.2963 0.8154 9.5126
Er -2.2904 -1.5334 8.4490
Zn -1.1581 -4.7361 3.4194
Zn 1.9633 -5.0699 5.9519
Zn 0.8334 -2.1273 7.7321
Zn 3.9591 -2.9853 3.7664

=====

No. 7
9
Lattice="3.5989 0.1002 -0.1462 -0.3490 6.8580 -3.8907 0.3268 -0.0514 7.8852" Properties=species:S:1:pos:R:3 comment="AcEr2Zn6, optimized geometry, DFT PBE" delta_e_f_kj_per_mol_atoms=-30.1 magmom_total_mub_per_cell=0.0 pbc="T T T"
Zn 1.7851 4.5273 2.5543
Er 0.1025 2.2517 3.9598
Zn 1.6656 6.8741 1.2228
Zn 1.7917 2.3795 1.2940
Er 3.4742 4.6550 -0.1115
Zn 2.0068 2.3460 6.4804
Zn 1.8967 4.5093 5.2531
Ac 0.0000 0.0000 0.0000
Zn 1.9111 0.0326 2.6255

=====

No. 8
4
Lattice="-0.4665 2.9733 2.6657 -2.7818 1.6835 -2.3645 -5.6250 -4.1601 3.6559" Properties=species:S:1:pos:R:3 comment="AcEr2Zr, optimized geometry, DFT PBE" delta_e_f_kj_per_mol_atoms=16.9 magmom_total_mub_per_cell=0.5 polymorph_energy_mev_per_atom=19.6 pbc="T T T"
Ac -4.4367 0.2483 1.9785
Zr -1.6242 2.3284 0.1506
Er -4.4738 -3.3087 2.9076
Er -1.1513 -0.8514 0.7482

=====

Copy entry 4 word for word.
4
Lattice="-2.3310 0.6907 -2.6330 -3.4377 -0.9481 0.3558 -4.2323 10.0531 3.9452" Properties=species:S:1:pos:R:3 comment="AcEr2Zn, optimized geometry, DFT PBE" delta_e_f_kj_per_mol_atoms=12.7 magmom_total_mub_per_cell=0.0 polymorph_energy_mev_per_atom=253.9 pbc="T T T"
Ac 0.0000 0.0000 0.0000
Er -6.4934 2.9243 -0.8010
Er -3.5076 6.8714 2.4689
Zn -5.0005 4.8979 0.8340